An optimized crystal structure of CaAl2Tc. Source: Alexandria via LeMat-Bulk, functional PBE.

Computed properties:
The theoretical density comes out at 4.01 Mg/m³. Its total DFT energy (no corrections) is -20.0 eV/f.u. The value obtained for the energy relative to the lowest polymorph listed for this composition is 232 meV per atom. As for the total moment: 0.00 μB per atom. As for the space group: P4mm, No. 99.

extended XYZ file:
```
4
Lattice="3.367 0.000 0.000 0.000 3.367 0.000 0.000 0.000 7.005" Properties=species:S:1:pos:R:3 pbc="T T T"
Ca 0.000 0.000 0.000
Al 0.000 0.000 3.048
Al 1.684 1.684 4.640
Tc 1.684 1.684 2.105
```


An optimized crystal structure of CaAl2Tc. Source: Alexandria via LeMat-Bulk, functional PBE.

Computed properties:
The theoretical density comes out at 3.13 Mg/m³. Its total DFT energy (no corrections) is -18.3 eV/f.u. The value obtained for the energy relative to the lowest polymorph listed for this composition is 635 meV per atom. As for the total moment: 0.20 μB per atom. As for the space group: I-42d, No. 122.

extended XYZ file:
```
8
Lattice="-2.434 2.434 8.586 2.434 -2.434 8.586 2.434 2.434 -8.586" Properties=species:S:1:pos:R:3 pbc="T T T"
Ca 0.000 0.000 0.000
Ca 0.000 2.434 4.293
Al 1.217 -0.321 6.439
Al 2.114 1.217 2.146
Al 1.217 2.755 -2.146
Al 0.321 1.217 10.732
Tc 2.434 0.000 4.293
Tc 0.000 0.000 8.586
```


An optimized crystal structure of Ca2AlTc. Source: Alexandria via LeMat-Bulk, functional PBE.

Computed properties:
The theoretical density comes out at 3.89 Mg/m³. Its total DFT energy (no corrections) is -16.6 eV/f.u. As for the total moment: 0.16 μB per atom. As for the space group: P4/mmm, No. 123.

extended XYZ file:
```
4
Lattice="3.013 0.000 0.000 0.000 3.013 0.000 0.000 0.000 9.646" Properties=species:S:1:pos:R:3 pbc="T T T"
Ca 0.000 0.000 2.331
Ca 0.000 0.000 7.315
Al 1.507 1.507 4.823
Tc 1.507 1.507 0.000
```


An optimized crystal structure of CaAl2Tc. Source: Alexandria via LeMat-Bulk, functional PBE.

Computed properties:
The theoretical density comes out at 3.96 Mg/m³. Its total DFT energy (no corrections) is -19.8 eV/f.u. The value obtained for the energy relative to the lowest polymorph listed for this composition is 270 meV per atom. As for the total moment: 0.00 μB per atom. As for the space group: Amm2, No. 38.

extended XYZ file:
```
4
Lattice="3.892 0.000 0.000 0.000 1.650 6.275 0.000 -1.650 6.275" Properties=species:S:1:pos:R:3 pbc="T T T"
Ca 0.000 0.000 0.000
Al 0.000 0.000 2.873
Al 1.946 0.000 4.488
Tc 1.946 0.000 8.663
```


An optimized crystal structure of CaAl2Tc. Source: Alexandria via LeMat-Bulk, functional PBE.

Computed properties:
The theoretical density comes out at 4.18 Mg/m³. Its total DFT energy (no corrections) is -19.9 eV/f.u. The value obtained for the energy relative to the lowest polymorph listed for this composition is 240 meV per atom. As for the total moment: 0.00 μB per atom. As for the space group: C2/m, No. 12.

extended XYZ file:
```
4
Lattice="4.421 -1.442 0.000 4.421 1.442 0.000 -0.704 0.000 5.989" Properties=species:S:1:pos:R:3 pbc="T T T"
Ca 0.000 0.000 0.000
Al 1.601 0.000 4.112
Al 6.538 0.000 1.876
Tc 4.069 0.000 2.994
```


An optimized crystal structure of CaAlTc2. Source: Alexandria via LeMat-Bulk, functional PBE.

Computed properties:
The theoretical density comes out at 4.78 Mg/m³. Its total DFT energy (no corrections) is -24.2 eV/f.u. As for the total moment: 0.00 μB per atom. As for the space group: I-42d, No. 122.

extended XYZ file:
```
8
Lattice="-2.229 2.229 9.193 2.229 -2.229 9.193 2.229 2.229 -9.193" Properties=species:S:1:pos:R:3 pbc="T T T"
Ca 0.000 0.000 0.000
Ca 0.000 2.229 4.597
Al 2.229 0.000 4.597
Al 0.000 0.000 9.193
Tc 1.114 -0.343 6.895
Tc 1.885 1.114 2.298
Tc 1.114 2.572 -2.298
Tc 0.343 1.114 11.491
```


An optimized crystal structure of CaAlTc2. Source: Alexandria via LeMat-Bulk, functional PBE.

Computed properties:
The theoretical density comes out at 6.48 Mg/m³. Its total DFT energy (no corrections) is -25.0 eV/f.u. As for the total moment: 0.00 μB per atom. As for the space group: C2/m, No. 12.

extended XYZ file:
```
4
Lattice="2.848 -4.590 0.000 2.848 4.590 0.000 -0.840 0.000 2.577" Properties=species:S:1:pos:R:3 pbc="T T T"
Ca 0.000 0.000 0.000
Al 2.848 0.000 0.000
Tc 1.004 2.295 1.289
Tc 1.004 -2.295 1.289
```


An optimized crystal structure of CaAlTc2. Source: Alexandria via LeMat-Bulk, functional PBE.

Computed properties:
The theoretical density comes out at 6.45 Mg/m³. Its total DFT energy (no corrections) is -24.7 eV/f.u. As for the total moment: 0.00 μB per atom. As for the space group: Cmmm, No. 65.

extended XYZ file:
```
4
Lattice="2.878 -4.479 0.000 2.878 4.479 0.000 0.000 0.000 2.628" Properties=species:S:1:pos:R:3 pbc="T T T"
Ca 0.000 0.000 0.000
Al 2.878 0.000 0.000
Tc 1.439 2.239 1.314
Tc 1.439 -2.239 1.314
```


> Among the records above, which one has the highest theoretical density?

number 7


> Among the records above, which one has the highest total moment?

number 2


Please write out number 1 again, unchanged.
An optimized crystal structure of CaAl2Tc. Source: Alexandria via LeMat-Bulk, functional PBE.

Computed properties:
The theoretical density comes out at 4.01 Mg/m³. Its total DFT energy (no corrections) is -20.0 eV/f.u. The value obtained for the energy relative to the lowest polymorph listed for this composition is 232 meV per atom. As for the total moment: 0.00 μB per atom. As for the space group: P4mm, No. 99.

extended XYZ file:
```
4
Lattice="3.367 0.000 0.000 0.000 3.367 0.000 0.000 0.000 7.005" Properties=species:S:1:pos:R:3 pbc="T T T"
Ca 0.000 0.000 0.000
Al 0.000 0.000 3.048
Al 1.684 1.684 4.640
Tc 1.684 1.684 2.105
```


> Which of these has the lowest theoretical density?

number 2